[1]
Pr8NiOs3I4 PBE-GGA relaxed; M_tot = 0.00 μB/f.u.; ΔE_f (raw) = -0.5617 eV/atom
1.0
-5.524 4.263 4.688
-0.612 -7.397 6.006
7.709 3.108 -1.281
Pr Ni Os I
8 1 3 4
Direct
0.231 0.685 0.954
0.231 0.685 0.462
0.270 0.312 0.541
0.723 0.685 0.954
0.277 0.315 0.046
0.730 0.688 0.459
0.769 0.315 0.538
0.769 0.315 0.046
0.000 0.500 0.000
0.500 0.500 0.000
0.500 0.500 0.500
0.000 0.500 0.500
0.500 0.000 0.000
0.500 0.000 0.500
0.000 0.000 0.000
0.000 0.000 0.500

=====

[2]
NiOsPt2I PBE-GGA relaxed; M_tot = 2.76 μB/f.u.; ΔE_f (raw) = 2.0911 eV/atom
1.0
4.914 0.000 0.000
0.000 4.897 0.000
0.000 0.000 4.914
I Ni Os Pt
1 1 1 2
Direct
0.000 0.000 0.000
0.500 0.500 0.500
0.000 0.500 0.000
0.000 0.000 0.500
0.500 0.000 0.000